A plane-wave DFT calculation with PBE was carried out for crystalline Al2InSI at its relaxed geometry.

Properties
raw formation energy: 197 meV per atom
SG: P4/mmm, No. 123

a = 5.015 Å, b = 6.404 Å, c = 5.015 Å
α = 90.00°, β = 90.00°, γ = 90.00°
Fractional coordinates of all 5 atoms:
S 0.000 0.000 0.000
Al 0.500 0.000 0.000
Al 0.000 0.000 0.500
In 0.000 0.500 0.000
I 0.500 0.500 0.500